No. 1
Here is a geometry-optimized Nd6Ga3Cu structure from the Alexandria database. Energies are from PBE.

Cell lengths 9.1021, 11.6304, 5.2033 Å; angles 90.00, 90.00, 90.00 degrees
With the nearest neighbours (Å) after each atom.
Element x y z (fractional)
Nd 0.0005 0.2460 0.0000  1 Cu 2.86, 4 Ga 2.95-3.02
Nd 0.1676 0.5761 0.5000  2 Ga 3.14, 1 Cu 3.15, 2 Nd 3.51
Nd 0.1679 0.9193 0.5000  2 Cu 3.16, 1 Ga 3.17, 2 Nd 3.51
Nd 0.3324 0.0761 0.0000  2 Ga 3.14, 1 Cu 3.15, 2 Nd 3.51
Nd 0.3321 0.4193 0.0000  2 Cu 3.16, 1 Ga 3.17, 2 Nd 3.51
Nd 0.4995 0.7460 0.5000  1 Cu 2.86, 4 Ga 2.95-3.02
Nd 0.5005 0.2540 0.5000  1 Cu 2.86, 4 Ga 2.95-3.02
Nd 0.6679 0.5807 0.0000  2 Cu 3.16, 1 Ga 3.17, 2 Nd 3.51
Nd 0.6676 0.9239 0.0000  2 Ga 3.14, 1 Cu 3.15, 2 Nd 3.51
Nd 0.8321 0.0807 0.5000  2 Cu 3.16, 1 Ga 3.17, 2 Nd 3.51
Nd 0.8324 0.4239 0.5000  2 Ga 3.14, 1 Cu 3.15, 2 Nd 3.51
Nd 0.9995 0.7540 0.0000  1 Cu 2.86, 4 Ga 2.95-3.02
Ga 0.0000 0.5000 0.0000  8 Nd 2.95-3.17
Ga 0.1689 0.2561 0.5000  3 Nd 3.02
Ga 0.3311 0.7561 0.0000  3 Nd 3.02
Ga 0.5000 0.0000 0.5000  8 Nd 2.95-3.17
Ga 0.6689 0.2439 0.0000  3 Nd 3.02
Ga 0.8311 0.7439 0.5000  3 Nd 3.02
Cu 0.0000 0.0000 0.0000  8 Nd 2.86-3.16
Cu 0.5000 0.5000 0.5000  8 Nd 2.86-3.16

Energy of formation, eV per formula unit: -2.9

No. 2
Here is a geometry-optimized SrLi2PbF8 structure from the Alexandria database. Energies are from PBE.

Cell lengths 4.2908, 5.2632, 7.6741 Å; angles 86.84, 88.08, 80.87 degrees
With the nearest neighbours (Å) after each atom.
Element x y z (fractional)
Sr 0.0000 0.0000 0.0000  6 F 2.44-2.53
Li 0.4825 0.4859 0.1928  4 F 1.93-1.98
Li 0.5175 0.5141 0.8072  4 F 1.93-1.98
Pb 0.0000 0.0000 0.5000  6 F 2.06-2.17
F 0.1608 0.7598 0.7277  1 Li 1.93
F 0.1749 0.7640 0.2849  1 Li 1.96, 1 Pb 2.16
F 0.3397 0.2379 0.4848  1 Pb 2.06
F 0.4037 0.2774 0.0001  2 Li 1.96-1.98
F 0.5963 0.7226 0.9999  2 Li 1.96-1.98
F 0.6603 0.7621 0.5152  1 Pb 2.06
F 0.8251 0.2360 0.7151  1 Li 1.96, 1 Pb 2.16
F 0.8392 0.2402 0.2723  1 Li 1.93

Formation energy (no corrections), meV/atom: -2741

No. 3
Here is a geometry-optimized Sm3PaIr3 structure from the Alexandria database. Energies are from PBE.

Cell lengths 7.6612, 7.6612, 7.6612 Å; angles 66.27, 66.27, 66.27 degrees
With the nearest neighbours (Å) after each atom.
Element x y z (fractional)
Sm 0.1222 0.3712 0.8200  5 Ir 2.90-3.07
Sm 0.1800 0.8778 0.6288  5 Ir 2.90-3.07
Sm 0.3712 0.8200 0.1222  5 Ir 2.90-3.07
Sm 0.6288 0.1800 0.8778  5 Ir 2.90-3.07
Sm 0.8200 0.1222 0.3712  5 Ir 2.90-3.07
Sm 0.8778 0.6288 0.1800  5 Ir 2.90-3.07
Pa 0.3247 0.3247 0.3247  6 Ir 2.70-2.96
Pa 0.6753 0.6753 0.6753  6 Ir 2.70-2.96
Ir 0.0493 0.6852 0.4470  2 Pa 2.70-2.96, 4 Sm 2.90-3.03, 1 Ir 2.94
Ir 0.3148 0.5530 0.9507  2 Pa 2.70-2.96, 4 Sm 2.90-3.03, 1 Ir 2.94
Ir 0.4470 0.0493 0.6852  2 Pa 2.70-2.96, 4 Sm 2.90-3.03, 1 Ir 2.94
Ir 0.5530 0.9507 0.3148  2 Pa 2.70-2.96, 4 Sm 2.90-3.03, 1 Ir 2.94
Ir 0.6852 0.4470 0.0493  2 Pa 2.70-2.96, 4 Sm 2.90-3.03, 1 Ir 2.94
Ir 0.9507 0.3148 0.5530  2 Pa 2.70-2.96, 4 Sm 2.90-3.03, 1 Ir 2.94

Energy of formation, eV per formula unit: -4.9

| no. | final energy (eV per atom) | N(E_F) (states/eV/f.u.) |
| --- | --- | --- |
| 1 | -4.472 | 11.0 |
| 2 | -4.756 | 0.0 |
| 3 | -7.877 | 5.0 |